DFT (PBE-GGA) results for an optimized crystal structure of KAl2Se.

Results
Spin magnetization (μB/atom): 0.000
Space-group type: I-4m2, No. 119
Energy relative to the elements, uncorrected (eV/atom): 0.0997

Cell and atoms, written as CIF:
```
data_KAl2Se
_chemical_formula_sum 'K2 Al4 Se2'
_cell_length_a 4.584
_cell_length_b 4.584
_cell_length_c 9.313
_cell_angle_alpha 90.00
_cell_angle_beta 90.00
_cell_angle_gamma 90.00
_space_group_name_H-M_alt 'P 1'
_space_group_IT_number 1
loop_
_space_group_symop_operation_xyz
'x,y,z'
loop_
_atom_site_label
_atom_site_type_symbol
_atom_site_fract_x
_atom_site_fract_y
_atom_site_fract_z
K1 K 0.000 0.000 0.000
K2 K 0.500 0.500 0.500
Al1 Al 0.000 0.000 0.500
Al2 Al 0.000 0.500 0.250
Al3 Al 0.500 0.000 0.750
Al4 Al 0.500 0.500 0.000
Se1 Se 0.000 0.500 0.750
Se2 Se 0.500 0.000 0.250
```